Entry from the Alexandria database: a geometry-optimized Na2HfSO8 structure (PBE).

Uncorrected energy: -0.2090 Ha/atom
Volume: 146.7 Å³ per cell
Fermi-level density of states: 5.2 states/eV/f.u.
Energy relative to the elements, uncorrected: -0.989 eV per atom

Cell: 5.590 5.590 5.419 Å, 90.00 90.00 120.00°
Site moments in Bohr magnetons follow the coordinates.
Positions (direct):
1 Na 0.333 0.667 0.948  0.01
2 O 0.667 0.333 0.471  1.18
3 O 0.724 0.862 0.187  0.17
4 O 0.138 0.276 0.187  0.17
5 O 0.276 0.138 0.813  0.17
6 O 0.862 0.138 0.813  0.17
7 S 0.000 0.000 0.000  -0.01
8 O 0.862 0.724 0.813  0.17
9 Na 0.667 0.333 0.052  0.01
10 O 0.333 0.667 0.529  1.18
11 O 0.138 0.862 0.187  0.17
12 Hf 0.000 0.000 0.500  -0.07